No. 1
The following is a GGA-PBE calculation of a geometry-optimized Ga2SnAs2 structure, from the Alexandria database.

**N(E_F)**: 0.462 states/eV per atom
**M_tot**: 0.000 μB per atom
**Electronic total energy**: -37.93 eV/cell
**Crystal system**: tetragonal

Cell: 7.7775 7.7775 3.5157 Å, 90.00 90.00 90.00°
Last column: nearest neighbours and their distance in Å.
Atoms (fractional coordinates):
As  0.3422  0.8422  0.0000  6 Ga 2.83-2.92, 2 Sn 2.93
As  0.8422  0.6578  0.0000  6 Ga 2.83-2.92, 2 Sn 2.93
As  0.6578  0.1578  0.0000  6 Ga 2.83-2.92, 2 Sn 2.93
As  0.1578  0.3422  0.0000  6 Ga 2.83-2.92, 2 Sn 2.93
Sn  0.0000  0.0000  0.0000  4 As 2.93
Sn  0.5000  0.5000  0.0000  4 As 2.93
Ga  0.1410  0.6410  0.5000  6 As 2.83-2.92, 1 Ga 3.10
Ga  0.6410  0.8590  0.5000  6 As 2.83-2.92, 1 Ga 3.10
Ga  0.8590  0.3590  0.5000  6 As 2.83-2.92, 1 Ga 3.10
Ga  0.3590  0.1410  0.5000  6 As 2.83-2.92, 1 Ga 3.10

***

No. 2
The following is a GGA-PBE calculation of a geometry-optimized GaSnAs2 structure, from the Alexandria database.

**N(E_F)**: 0.582 states/eV per atom
**M_tot**: 0.000 μB per atom
**Electronic total energy**: -33.29 eV/cell
**Crystal system**: tetragonal

Cell: 6.1574 6.1574 7.3974 Å, 65.41 65.41 90.00°
Last column: nearest neighbours and their distance in Å.
Atoms (fractional coordinates):
As  0.5902  0.1250  0.2500  2 Ga 2.52, 2 Sn 2.77
As  0.1598  0.6250  0.2500  2 Ga 2.52, 2 Sn 2.77
As  0.3750  0.4098  0.7500  2 Ga 2.52, 2 Sn 2.77
As  0.8750  0.8402  0.7500  2 Ga 2.52, 2 Sn 2.77
Sn  0.0000  0.0000  0.0000  4 As 2.77
Sn  0.7500  0.2500  0.5000  4 As 2.77
Ga  0.5000  0.5000  0.0000  4 As 2.52
Ga  0.2500  0.7500  0.5000  4 As 2.52

***

No. 3
The following is a GGA-PBE calculation of a geometry-optimized Ga2SnAs structure, from the Alexandria database.

**N(E_F)**: 0.549 states/eV per atom
**M_tot**: 0.000 μB per atom
**Electronic total energy**: -14.09 eV/cell
**Crystal system**: cubic

Cell: 4.9368 4.9368 4.9368 Å, 60.00 60.00 60.00°
Last column: nearest neighbours and their distance in Å.
Atoms (fractional coordinates):
As  0.0000  0.0000  0.0000  8 Ga 3.02
Sn  0.5000  0.5000  0.5000  8 Ga 3.02
Ga  0.2500  0.2500  0.2500  4 As 3.02, 4 Sn 3.02
Ga  0.7500  0.7500  0.7500  4 As 3.02, 4 Sn 3.02

***

No. 4
The following is a GGA-PBE calculation of a geometry-optimized GaSn2As2 structure, from the Alexandria database.

**N(E_F)**: 0.443 states/eV per atom
**M_tot**: 0.000 μB per atom
**Electronic total energy**: -19.65 eV/cell
**Crystal system**: tetragonal

Cell: 5.5814 5.5814 5.6776 Å, 60.56 60.56 90.00°
Last column: nearest neighbours and their distance in Å.
Atoms (fractional coordinates):
As  0.3455  0.3455  0.3090  1 As 2.52, 1 Ga 2.82
As  0.6545  0.6545  0.6910  1 As 2.52, 1 Ga 2.82
Sn  0.7500  0.2500  0.5000  4 As 2.90
Sn  0.2500  0.7500  0.5000  4 As 2.90
Ga  0.0000  0.0000  0.0000  2 As 2.82

***

No. 5
The following is a GGA-PBE calculation of a geometry-optimized GaSnAs3 structure, from the Alexandria database.

**N(E_F)**: 0.919 states/eV per atom
**M_tot**: 0.000 μB per atom
**Electronic total energy**: -18.35 eV/cell
**Crystal system**: cubic

Cell: 4.9597 4.9597 4.9597 Å, 90.00 90.00 90.00°
Last column: nearest neighbours and their distance in Å.
Atoms (fractional coordinates):
As  0.0000  0.5000  0.0000  2 Ga 2.48
As  0.0000  0.0000  0.5000  2 Ga 2.48
As  0.5000  0.0000  0.0000  2 Ga 2.48
Sn  0.5000  0.5000  0.5000  12 As 3.51
Ga  0.0000  0.0000  0.0000  6 As 2.48

***

No. 6
The following is a GGA-PBE calculation of a geometry-optimized GaSnAs2 structure, from the Alexandria database.

**N(E_F)**: 0.252 states/eV per atom
**M_tot**: 0.000 μB per atom
**Electronic total energy**: -66.93 eV/cell
**Crystal system**: orthorhombic

Cell: 4.0056 6.6767 15.4842 Å, 90.00 90.00 90.00°
Last column: nearest neighbours and their distance in Å.
Atoms (fractional coordinates):
Ga  0.7500  0.8019  0.1701  4 As 2.49-2.52
Ga  0.7500  0.3019  0.3299  4 As 2.49-2.52
Ga  0.2500  0.1981  0.8299  4 As 2.49-2.52
Ga  0.2500  0.6981  0.6701  4 As 2.49-2.52
Sn  0.7500  0.2062  0.5726  3 As 2.71-2.73
Sn  0.2500  0.7938  0.4274  3 As 2.71-2.73
Sn  0.7500  0.7062  0.9274  3 As 2.71-2.73
Sn  0.2500  0.2938  0.0726  3 As 2.71-2.73
As  0.7500  0.7980  0.5811  2 Ga 2.52, 1 Sn 2.73
As  0.2500  0.2020  0.4189  2 Ga 2.52, 1 Sn 2.73
As  0.7500  0.2980  0.9189  2 Ga 2.52, 1 Sn 2.73
As  0.2500  0.7020  0.0811  2 Ga 2.52, 1 Sn 2.73
As  0.2500  0.3259  0.6791  2 Ga 2.49, 2 Sn 2.71
As  0.7500  0.1741  0.1791  2 Ga 2.49, 2 Sn 2.71
As  0.2500  0.8259  0.8209  2 Ga 2.49, 2 Sn 2.71
As  0.7500  0.6741  0.3209  2 Ga 2.49, 2 Sn 2.71

***

No. 7
The following is a GGA-PBE calculation of a geometry-optimized Ga2Sn2As structure, from the Alexandria database.

**N(E_F)**: 0.541 states/eV per atom
**M_tot**: 0.000 μB per atom
**Electronic total energy**: -36.28 eV/cell
**Crystal system**: tetragonal

Cell: 7.0277 7.0277 4.6974 Å, 90.00 90.00 90.00°
Last column: nearest neighbours and their distance in Å.
Atoms (fractional coordinates):
As  0.0000  0.0000  0.0000  4 Ga 2.74
As  0.5000  0.5000  0.0000  4 Ga 2.74
Sn  0.1842  0.6842  0.5000  6 Ga 2.97-3.26
Sn  0.6842  0.8158  0.5000  6 Ga 2.97-3.26
Sn  0.8158  0.3158  0.5000  6 Ga 2.97-3.26
Sn  0.3158  0.1842  0.5000  6 Ga 2.97-3.26
Ga  0.3671  0.8671  0.0000  1 Ga 2.64, 2 As 2.74
Ga  0.8671  0.6329  0.0000  1 Ga 2.64, 2 As 2.74
Ga  0.6329  0.1329  0.0000  1 Ga 2.64, 2 As 2.74
Ga  0.1329  0.3671  0.0000  1 Ga 2.64, 2 As 2.74

***

No. 8
The following is a GGA-PBE calculation of a geometry-optimized Ga2SnAs structure, from the Alexandria database.

**N(E_F)**: 0.726 states/eV per atom
**M_tot**: 0.000 μB per atom
**Electronic total energy**: -13.10 eV/cell
**Crystal system**: trigonal

Cell: 3.9547 3.9547 8.4054 Å, 76.39 76.39 60.00°
Last column: nearest neighbours and their distance in Å.
Atoms (fractional coordinates):
As  0.0000  0.0000  0.0000  2 Ga 2.42
Sn  0.5000  0.5000  0.5000  6 Ga 2.80
Ga  0.0999  0.0999  0.7002  1 As 2.42
Ga  0.9001  0.9001  0.2998  1 As 2.42

***

No. 9
The following is a GGA-PBE calculation of a geometry-optimized GaSnAs2 structure, from the Alexandria database.

**N(E_F)**: 0.360 states/eV per atom
**M_tot**: 0.000 μB per atom
**Electronic total energy**: -15.38 eV/cell
**Crystal system**: trigonal

Cell: 4.3387 4.3387 7.8347 Å, 73.93 73.93 60.00°
Last column: nearest neighbours and their distance in Å.
Atoms (fractional coordinates):
As  0.1049  0.1049  0.6853  1 Ga 2.34
As  0.8951  0.8951  0.3147  1 Ga 2.34
Sn  0.5000  0.5000  0.5000  6 As 2.86
Ga  0.0000  0.0000  0.0000  2 As 2.34

***

No. 10
The following is a GGA-PBE calculation of a geometry-optimized GaSnAs3 structure, from the Alexandria database.

**N(E_F)**: 1.066 states/eV per atom
**M_tot**: 0.000 μB per atom
**Electronic total energy**: -16.91 eV/cell
**Crystal system**: cubic

Cell: 5.2939 5.2939 5.2939 Å, 90.00 90.00 90.00°
Last column: nearest neighbours and their distance in Å.
Atoms (fractional coordinates):
As  0.0000  0.5000  0.0000  2 Sn 2.65
As  0.0000  0.0000  0.5000  2 Sn 2.65
As  0.5000  0.0000  0.0000  2 Sn 2.65
Sn  0.0000  0.0000  0.0000  6 As 2.65
Ga  0.5000  0.5000  0.5000  12 As 3.74

***

No. 11
The following is a GGA-PBE calculation of a geometry-optimized GaSn2As2 structure, from the Alexandria database.

**N(E_F)**: 0.426 states/eV per atom
**M_tot**: 0.000 μB per atom
**Electronic total energy**: -39.70 eV/cell
**Crystal system**: tetragonal

Cell: 7.8303 7.8303 3.8549 Å, 90.00 90.00 90.00°
Last column: nearest neighbours and their distance in Å.
Atoms (fractional coordinates):
As  0.3424  0.8424  0.0000  6 Sn 2.86-3.09, 2 Ga 2.95
As  0.8424  0.6576  0.0000  6 Sn 2.86-3.09, 2 Ga 2.95
As  0.6576  0.1576  0.0000  6 Sn 2.86-3.09, 2 Ga 2.95
As  0.1576  0.3424  0.0000  6 Sn 2.86-3.09, 2 Ga 2.95
Sn  0.1516  0.6516  0.5000  6 As 2.86-3.09
Sn  0.6516  0.8484  0.5000  6 As 2.86-3.09
Sn  0.8484  0.3484  0.5000  6 As 2.86-3.09
Sn  0.3484  0.1516  0.5000  6 As 2.86-3.09
Ga  0.0000  0.0000  0.0000  4 As 2.95
Ga  0.5000  0.5000  0.0000  4 As 2.95

***

| no. | formation energy from the elements (eV per atom) |
| --- | --- |
| 1 | 0.0782 |
| 2 | -0.0786 |
| 3 | 0.1541 |
| 4 | 0.1357 |
| 5 | 0.5250 |
| 6 | -0.1009 |
| 7 | 0.1138 |
| 8 | 0.4008 |
| 9 | 0.2362 |
| 10 | 0.8145 |
| 11 | 0.0958 |